(1)
Computed, not measured: RbHoO2 after structural relaxation at the PBE-GGA level of DFT.

a b c (Å): 3.4788 3.4788 6.9362
angles (deg): 75.48 75.48 60.00
Fractional positions:
Rb  0.4972  0.4972  0.5085
Ho  0.6669  0.6669  0.9993
O  0.0593  0.0593  0.8222
O  0.2767  0.2767  0.1700

Calculated values
* raw formation energy: -258.8 kJ per mole of atoms

(2)
Computed, not measured: HoTiSn2 after structural relaxation at the PBE-GGA level of DFT.

a b c (Å): 4.3552 4.5725 4.5725
angles (deg): 90.00 90.00 90.00
Fractional positions:
Ti  0.5000  0.0000  0.0000
Ho  0.5000  0.5000  0.5000
Sn  0.0000  0.0000  0.5000
Sn  0.0000  0.5000  0.0000

Calculated values
* E_form: -0.335 eV/atom
* offset from the most stable computed form: 25 meV/atom

(3)
Computed, not measured: Hf4AlRh after structural relaxation at the PBE-GGA level of DFT.

a b c (Å): 5.4350 7.7464 7.3330
angles (deg): 114.01 101.40 109.11
Fractional positions:
Hf  0.0386  0.2095  0.8363
Hf  0.7673  0.7017  0.6227
Hf  0.2978  0.6268  0.8363
Hf  0.3553  0.9209  0.6227
Hf  0.6447  0.0791  0.3773
Hf  0.7022  0.3732  0.1637
Hf  0.2327  0.2983  0.3773
Hf  0.9614  0.7905  0.1637
Al  0.3695  0.6195  0.2390
Al  0.6305  0.3805  0.7610
Rh  0.2466  0.9966  0.9933
Rh  0.7534  0.0034  0.0067

Calculated values
* E_form: -0.311 eV/atom
* offset from the most stable computed form: 106 meV/atom

| no. | DOS at the Fermi energy (states/eV/atom) | energy (eV/cell) |
| --- | --- | --- |
| 1 | 0.000 | -26.19 |
| 2 | 0.932 | -21.82 |
| 3 | 1.057 | -105.55 |